A plane-wave DFT calculation with GGA-PBE was carried out for a relaxed structure of Ga3BrN.

```
data_Ga3BrN
_cell_length_a 4.638
_cell_length_b 4.638
_cell_length_c 4.638
_cell_angle_alpha 90.00
_cell_angle_beta 90.00
_cell_angle_gamma 90.00
_symmetry_space_group_name_H-M 'P m -3 m'
_symmetry_Int_Tables_number 221
_symmetry_space_group_name_Hall '-P 4 2 3'
loop_
_atom_site_label
_atom_site_fract_x
_atom_site_fract_y
_atom_site_fract_z
Ga1 0.000 0.000 0.500
Br1 0.500 0.500 0.500
N1 0.000 0.000 0.000
```

Properties
total moment: 0.00 μB per cell
formation energy without anion corrections: 368 meV per atom
total DFT energy (no corrections): -3.45 eV/atom